# 1
Compound: TlCdPb6
Source: Alexandria via LeMat-Bulk
Functional: PBE
Structure: relaxed

a = 4.9893 Å, b = 4.9893 Å, c = 9.8324 Å
α = 90.00°, β = 90.00°, γ = 90.00°
Last column: nearest neighbours and their distance in Å.
Atoms (fractional coordinates):
Pb: 0.0000 0.5000 0.2562  2 Cd 3.46, 8 Pb 3.46-3.55, 2 Tl 3.55
Pb: 0.5000 0.0000 0.7438  2 Cd 3.46, 8 Pb 3.46-3.55, 2 Tl 3.55
Pb: 0.5000 0.0000 0.2562  2 Cd 3.46, 8 Pb 3.46-3.55, 2 Tl 3.55
Pb: 0.5000 0.5000 0.5000  8 Pb 3.46, 4 Cd 3.53
Pb: 0.5000 0.5000 0.0000  4 Tl 3.53, 8 Pb 3.55
Pb: 0.0000 0.5000 0.7438  2 Cd 3.46, 8 Pb 3.46-3.55, 2 Tl 3.55
Cd: 0.0000 0.0000 0.5000  12 Pb 3.46-3.53
Tl: 0.0000 0.0000 0.0000  12 Pb 3.53-3.55

## Properties
* E_form: 9 meV/atom
* SG: No. 123
* DOS(E_F): 2.4 states/eV/f.u.
* uncorrected energy: -3.182 eV per atom

***

# 2
Compound: Sr2MgH6Pd
Source: Alexandria via LeMat-Bulk
Functional: PBE
Structure: relaxed

a = 5.5615 Å, b = 5.5615 Å, c = 5.5541 Å
α = 60.07°, β = 60.07°, γ = 90.23°
Last column: nearest neighbours and their distance in Å.
Atoms (fractional coordinates):
Pd: 0.5000 0.5000 0.0000  6 H 1.92-1.94
H: 0.2540 0.7462 0.0000  1 Pd 1.94, 1 Mg 2.00
H: 0.7460 0.2538 0.0000  1 Pd 1.94, 1 Mg 2.00
H: 0.7449 0.7447 0.0000  1 Pd 1.92, 1 Mg 2.00
H: 0.2547 0.2547 0.4904  1 Pd 1.93, 1 Mg 2.00
H: 0.2551 0.2553 0.0000  1 Pd 1.92, 1 Mg 2.00
H: 0.7453 0.7453 0.5096  1 Pd 1.93, 1 Mg 2.00
Mg: 0.0000 0.0000 0.0000  6 H 2.00
Sr: 0.7500 0.2500 0.5000  12 H 2.78
Sr: 0.2500 0.7500 0.5000  12 H 2.78

## Properties
* SG: No. 139
* DOS(E_F): 0.2 states/eV/f.u.
* uncorrected energy: -3.416 eV per atom